Record 1
KSi2 | PBE | relaxed

CIF file:
```
data_KSi2
_chemical_formula_sum 'K1 Si2'
_cell_length_a 3.9495
_cell_length_b 3.9495
_cell_length_c 5.7229
_cell_angle_alpha 90.00
_cell_angle_beta 90.00
_cell_angle_gamma 120.00
_space_group_name_H-M_alt 'P -3 m 1'
_space_group_IT_number 164
_space_group_name_Hall '-P 3 2"'
loop_
_atom_site_label
_atom_site_fract_x
_atom_site_fract_y
_atom_site_fract_z
_atom_site_occupancy
K1 0.0000 0.0000 0.0000 1
Si1 0.3333 0.6667 0.4455 1
```

- Excess energy over the best structure of this formula in the dataset: 0.000 eV/atom
- Magnetization: 0.000 μB per atom


Record 2
K2Si | PBE | relaxed

CIF file:
```
data_K2Si
_chemical_formula_sum 'K8 Si4'
_cell_length_a 8.750
_cell_length_b 5.342
_cell_length_c 10.514
_cell_angle_alpha 90.00
_cell_angle_beta 90.00
_cell_angle_gamma 90.00
_space_group_name_H-M_alt 'P n m a'
_space_group_IT_number 62
loop_
_space_group_symop_operation_xyz
'x,y,z'
'-x,-y,-z'
'-x+1/2,-y,z+1/2'
'x+1/2,y,-z+1/2'
'x+1/2,-y+1/2,-z+1/2'
'-x+1/2,y+1/2,z+1/2'
'-x,y+1/2,-z'
'x,-y+1/2,z'
loop_
_atom_site_label
_atom_site_fract_x
_atom_site_fract_y
_atom_site_fract_z
_atom_site_occupancy
K1 0.026 0.250 0.173 1
K2 0.150 0.250 0.572 1
Si1 0.248 0.750 0.384 1
```

- Excess energy over the best structure of this formula in the dataset: 0.376 eV/atom
- Magnetization: 0.676 μB per atom


Record 3
K2Si | PBE | relaxed

CIF file:
```
data_K2Si
_chemical_formula_sum 'K8 Si4'
_cell_length_a 3.992
_cell_length_b 18.584
_cell_length_c 6.883
_cell_angle_alpha 90.00
_cell_angle_beta 90.00
_cell_angle_gamma 90.00
_space_group_name_H-M_alt 'A m m 2'
_space_group_IT_number 38
loop_
_space_group_symop_operation_xyz
'x,y,z'
'-x,-y,z'
'-x,y,z'
'x,-y,z'
'x,y+1/2,z+1/2'
'-x,-y+1/2,z+1/2'
'-x,y+1/2,z+1/2'
'x,-y+1/2,z+1/2'
loop_
_atom_site_label
_atom_site_fract_x
_atom_site_fract_y
_atom_site_fract_z
_atom_site_occupancy
K1 0.000 0.094 0.000 1
K2 0.500 0.166 0.507 1
Si1 0.000 0.000 0.505 1
Si2 0.500 0.000 0.314 1
```

- Excess energy over the best structure of this formula in the dataset: 0.039 eV/atom
- Magnetization: 0.000 μB per atom


Record 4
KSi3 | PBE | relaxed

CIF file:
```
data_KSi3
_chemical_formula_sum 'K3 Si9'
_cell_length_a 10.0606
_cell_length_b 10.0606
_cell_length_c 2.6840
_cell_angle_alpha 90.00
_cell_angle_beta 90.00
_cell_angle_gamma 120.00
_space_group_name_H-M_alt 'R -3 m'
_space_group_IT_number 166
_space_group_name_Hall '-R 3 2"'
loop_
_atom_site_label
_atom_site_fract_x
_atom_site_fract_y
_atom_site_fract_z
_atom_site_occupancy
K1 0.0000 0.0000 0.0000 1
Si1 0.0000 0.5000 0.0000 1
```

- Excess energy over the best structure of this formula in the dataset: 0.585 eV/atom
- Magnetization: 0.000 μB per atom


Record 5
KSi3 | PBE | relaxed

CIF file:
```
data_KSi3
_chemical_formula_sum 'K2 Si6'
_cell_length_a 3.691
_cell_length_b 6.455
_cell_length_c 8.765
_cell_angle_alpha 90.00
_cell_angle_beta 90.00
_cell_angle_gamma 90.00
_space_group_name_H-M_alt 'I m m m'
_space_group_IT_number 71
_space_group_name_Hall '-I 2 2'
loop_
_atom_site_label
_atom_site_fract_x
_atom_site_fract_y
_atom_site_fract_z
_atom_site_occupancy
K1 0.000 0.000 0.000 1
Si1 0.000 0.000 0.500 1
Si2 0.000 0.500 0.167 1
```

- Excess energy over the best structure of this formula in the dataset: 0.319 eV/atom
- Magnetization: 0.000 μB per atom


Record 6
K2Si | PBE | relaxed

CIF file:
```
data_K2Si
_chemical_formula_sum 'K8 Si4'
_cell_length_a 17.055
_cell_length_b 4.511
_cell_length_c 7.392
_cell_angle_alpha 90.00
_cell_angle_beta 102.71
_cell_angle_gamma 90.00
_space_group_name_H-M_alt 'C 1 2/m 1'
_space_group_IT_number 12
loop_
_space_group_symop_operation_xyz
'x,y,z'
'-x,-y,-z'
'-x,y,-z'
'x,-y,z'
'x+1/2,y+1/2,z'
'-x+1/2,-y+1/2,-z'
'-x+1/2,y+1/2,-z'
'x+1/2,-y+1/2,z'
loop_
_atom_site_label
_atom_site_fract_x
_atom_site_fract_y
_atom_site_fract_z
_atom_site_occupancy
K1 0.103 0.000 0.074 1
K2 0.140 0.000 0.597 1
Si1 0.004 0.500 0.353 1
```

- Excess energy over the best structure of this formula in the dataset: 0.157 eV/atom
- Magnetization: 0.000 μB per atom